# Cu2RuW | Alexandria via LeMat-Bulk | GGA-PBE | relaxed
# crystal system: cubic
# mass density: 12.76 Mg/m³
# energy relative to the elements: 446 meV/atom
# DOS(E_F): 7.0 states/eV/f.u.
# polymorph energy (0 for the lowest one): 0.277 eV per atom
data_Cu2RuW
_space_group_name_H-M_alt 'F m -3 m'
_space_group_IT_number 225
_space_group_name_Hall '-F 4 2 3'
_cell_length_a 5.986
_cell_length_b 5.986
_cell_length_c 5.986
_cell_angle_alpha 90.00
_cell_angle_beta 90.00
_cell_angle_gamma 90.00
loop_
_atom_site_label
_atom_site_type_symbol
_atom_site_fract_x
_atom_site_fract_y
_atom_site_fract_z
Cu1 Cu 0.250 0.250 0.250
Ru1 Ru 0.000 0.000 0.000
W1 W 0.000 0.000 0.500